Record 1
# CsWNF2

A relaxed structure of CsWNF2 (PBE with a Hubbard U, the Alexandria database).

Magnetic moment ... 2.00 μB/cell
Energy above the lowest structure with this stoichiometry ... 0 meV/atom

Unit cell a=4.533 b=4.533 c=4.062 alpha=90.00 beta=90.00 gamma=90.00
Positions (direct):
F1 0.500 0.000 0.000
F2 0.000 0.500 0.000
Cs1 0.500 0.500 0.500
W1 0.000 0.000 0.000
N1 0.000 0.000 0.500

=====

Record 2
# YbV4O8

A relaxed structure of YbV4O8 (PBE with a Hubbard U, the Alexandria database).

Magnetic moment ... 11.92 μB/cell
Energy above the lowest structure with this stoichiometry ... 0 meV/atom

Unit cell a=3.088 b=9.113 c=10.739 alpha=88.58 beta=90.00 gamma=90.00
Positions (direct):
V1 0.750 0.077 0.884
V2 0.250 0.930 0.604
V3 0.750 0.557 0.611
V4 0.250 0.443 0.389
V5 0.250 0.923 0.116
V6 0.250 0.420 0.890
V7 0.750 0.070 0.396
V8 0.750 0.580 0.110
O1 0.750 0.891 0.486
O2 0.250 0.722 0.663
O3 0.750 0.974 0.716
O4 0.750 0.494 0.792
O5 0.250 0.109 0.514
O6 0.750 0.785 0.137
O7 0.250 0.215 0.863
O8 0.750 0.278 0.337
O9 0.250 0.026 0.284
O10 0.250 0.616 0.976
O11 0.750 0.079 0.075
O12 0.250 0.921 0.925
O13 0.750 0.384 0.024
O14 0.250 0.436 0.577
O15 0.750 0.564 0.423
O16 0.250 0.506 0.208
Yb1 0.750 0.749 0.847
Yb2 0.250 0.251 0.153